[1]
A plane-wave DFT calculation with PBE was carried out for HoSc2As3 after structural relaxation.

Unit cell a=3.9548 b=5.6134 c=6.8487 alpha=114.19 beta=106.78 gamma=90.00
Last column: nearest neighbours and their distance in Å.
Fractional coordinates of all 6 atoms:
As: 0.0000 0.0000 0.0000  4 Sc 2.78, 2 Ho 2.81
Sc: 0.3349 0.8349 0.6697  6 As 2.75-2.81
As: 0.6742 0.6742 0.3484  4 Sc 2.75-2.81, 2 Ho 2.86
Ho: 0.0000 0.5000 0.0000  6 As 2.81-2.86
As: 0.3258 0.3258 0.6516  4 Sc 2.75-2.81, 2 Ho 2.86
Sc: 0.6651 0.1651 0.3303  6 As 2.75-2.81

Output
**Volume**: 132 Å³ per cell
**Final energy**: -6.608 eV per atom
**Calculated formation energy**: -1.41 eV per atom
**DOS(E_F)**: 1.129 states/eV per cell

***

[2]
A plane-wave DFT calculation with PBE was carried out for HoScAs after structural relaxation.

Unit cell a=4.0050 b=7.5640 c=7.5640 alpha=120.00 beta=90.00 gamma=90.00
Last column: nearest neighbours and their distance in Å.
Fractional coordinates of all 9 atoms:
As: 0.5000 0.0000 0.0000  6 Sc 2.76, 3 Ho 3.06
Sc: 0.0000 0.7490 0.7491  4 As 2.76-2.88
As: 0.0000 0.3333 0.6667  3 Sc 2.88, 6 Ho 3.05
Ho: 0.5000 0.4050 0.4050  5 As 3.05-3.06, 6 Sc 3.28-3.34
Sc: 0.0000 0.2509 0.0000  4 As 2.76-2.88
Sc: 0.0000 0.0000 0.2509  4 As 2.76-2.88
Ho: 0.5000 0.5950 0.0000  5 As 3.05-3.06, 6 Sc 3.28-3.34
Ho: 0.5000 0.0000 0.5950  5 As 3.05-3.06, 6 Sc 3.28-3.34
As: 0.0000 0.6667 0.3333  3 Sc 2.88, 6 Ho 3.05

Output
**Volume**: 198 Å³ per cell
**Final energy**: -6.174 eV per atom
**Calculated formation energy**: -0.99 eV per atom
**DOS(E_F)**: 12.370 states/eV per cell

***

[3]
A plane-wave DFT calculation with PBE was carried out for Ho5Sc3As8 after structural relaxation.

Unit cell a=8.0436 b=8.0436 c=8.0379 alpha=59.98 beta=59.98 gamma=60.00
Last column: nearest neighbours and their distance in Å.
Fractional coordinates of all 16 atoms:
Ho: 0.0000 0.5000 0.0000  6 As 2.89
Sc: 0.0000 0.0000 0.5000  6 As 2.79
As: 0.7500 0.2409 0.2591  2 Sc 2.79, 4 Ho 2.84-2.89
Ho: 0.5000 0.5000 0.0000  6 As 2.89
Ho: 0.0000 0.0000 0.0000  6 As 2.84
Sc: 0.5000 0.0000 0.5000  6 As 2.79
As: 0.2500 0.2500 0.7409  2 Sc 2.79, 4 Ho 2.84-2.89
Ho: 0.5000 0.5000 0.5000  6 As 2.84
As: 0.7591 0.2500 0.7409  2 Sc 2.79, 4 Ho 2.84-2.89
As: 0.2409 0.7500 0.2591  2 Sc 2.79, 4 Ho 2.84-2.89
As: 0.2455 0.2455 0.2634  3 Sc 2.79, 3 Ho 2.89
Sc: 0.0000 0.5000 0.5000  6 As 2.79
As: 0.7545 0.7545 0.7366  3 Sc 2.79, 3 Ho 2.89
As: 0.7500 0.7500 0.2591  2 Sc 2.79, 4 Ho 2.84-2.89
As: 0.2500 0.7591 0.7409  2 Sc 2.79, 4 Ho 2.84-2.89
Ho: 0.5000 0.0000 0.0000  6 As 2.89

Output
**Volume**: 368 Å³ per cell
**Final energy**: -6.400 eV per atom
**Calculated formation energy**: -1.46 eV per atom
**DOS(E_F)**: 2.682 states/eV per cell

***

> volume of number 2 (HoScAs)?

198 Å³ per cell

***

> Number 2 is which compound?

HoScAs

***

> Number 2 is which compound?

HoScAs

***

> Among the records above, which one has the lowest final energy?

HoSc2As3